No. 1
CaCr2Re after structural relaxation. Source: the Alexandria database, functional PBE.

The structure in POSCAR format:
```
CaCr2Re
1.0
-0.5109 -1.9636 2.2549
-1.2807 -1.9191 -1.9613
5.4017 -5.1019 -3.2189
Cr Re Ca
2 1 1
Direct
0.5000 0.2428 0.2571
0.0000 0.9341 0.0659
0.0000 0.5614 0.4384
0.5000 0.7617 0.7386
```

Summary:
* ΔE_f: 0.51 eV per atom
* crystal system: tetragonal
* space group: P4mm
* relative energy among the computed polymorphs: 30.1 meV per atom



No. 2
CsTi2ZnO6 after structural relaxation. Source: the Alexandria database, functional PBE.

The structure in POSCAR format:
```
CsTi2ZnO6
1.0
6.3250 -0.2303 -0.2390
1.7528 7.5210 -1.2958
1.7528 -1.5736 7.4678
O Zn Ti Cs
12 2 4 2
Direct
0.9297 0.3472 0.4076
0.7299 0.0504 0.2790
0.7701 0.7210 0.9496
0.0703 0.6528 0.5924
0.5703 0.5924 0.6528
0.2299 0.2790 0.0504
0.9800 0.3528 0.7521
0.4297 0.4076 0.3472
0.4800 0.7521 0.3528
0.0200 0.6472 0.2479
0.2701 0.9496 0.7210
0.5200 0.2479 0.6472
0.7500 0.7825 0.2175
0.2500 0.2175 0.7825
0.1441 0.4384 0.2867
0.8559 0.5616 0.7133
0.6441 0.2867 0.4384
0.3559 0.7133 0.5616
0.7500 0.1040 0.8960
0.2500 0.8960 0.1040
```

Summary:
* crystal system: monoclinic
* space group: C2/c



No. 3
Al2MoPdRh after structural relaxation. Source: the Alexandria database, functional PBE.

The structure in POSCAR format:
```
Al2MoPdRh
1.0
-0.8638 1.9907 -4.2378
3.6127 -2.1873 -1.7638
-2.7925 -3.6781 -1.1585
Al Rh Pd Mo
2 1 1 1
Direct
0.5000 0.0000 0.0000
0.0000 0.0000 0.5000
0.0000 0.5000 0.0000
0.5000 0.5000 0.5000
0.0000 0.0000 0.0000
```

Summary:
* ΔE_f: 0.87 eV per atom
* crystal system: tetragonal
* space group: P4/mmm



No. 4
Tl4Bi3SbSe8 after structural relaxation. Source: the Alexandria database, functional PBE.

The structure in POSCAR format:
```
Tl4Bi3SbSe8
1.0
8.5857 0.0000 0.0000
0.0000 9.0801 0.3411
-4.2928 -4.2904 6.0730
Tl Se Bi Sb
4 8 3 1
Direct
0.5000 0.0000 0.5000
0.5000 0.0000 0.0000
0.0000 0.0000 0.0000
0.0000 0.0000 0.5000
0.7391 0.7173 0.4783
0.2358 0.7146 0.4716
0.2568 0.2854 0.0210
0.2357 0.7146 0.9790
0.7432 0.7146 0.9790
0.7642 0.2854 0.5284
0.2609 0.2827 0.5217
0.7643 0.2854 0.0210
0.5000 0.5000 0.0000
0.0000 0.5000 0.5000
0.5000 0.5000 0.5000
0.0000 0.5000 0.0000
```

Summary:
* crystal system: trigonal
* space group: R-3m



No. 5
BaCa2CrN4 after structural relaxation. Source: the Alexandria database, functional PBE.

The structure in POSCAR format:
```
BaCa2CrN4
1.0
5.8725 0.0000 0.0000
0.0000 6.2653 0.0000
0.0000 0.0000 7.6500
Cr N Ba Ca
2 8 2 4
Direct
0.0033 0.1958 0.0000
0.5033 0.8042 0.5000
0.4856 0.0883 0.5000
0.2951 0.2630 0.0000
0.3766 0.6951 0.6881
0.7951 0.7370 0.5000
0.8766 0.3049 0.1881
0.3766 0.6951 0.3119
0.8766 0.3049 0.8119
0.9856 0.9117 0.0000
0.4789 0.8810 0.0000
0.9789 0.1190 0.5000
0.9919 0.6584 0.2392
0.9919 0.6584 0.7608
0.4919 0.3416 0.2608
0.4919 0.3416 0.7392
```

Summary:
* crystal system: orthorhombic
* space group: Pmn2_1



Number 1: E_tot -7.910 eV/atom. Number 2: E_tot -7.028 eV/atom. Number 3: E_tot -5.304 eV/atom. Number 4: E_tot -3.748 eV/atom. Number 5: E_tot -6.954 eV/atom.